Record 1
# PaGaP2Ru5

An optimized crystal structure of PaGaP2Ru5 (PBE, the Alexandria database).

Calculated values
DFT total energy ... -74.55 eV/cell
DOS(E_F) ... 7.0 states/eV per cell

Cell lengths 4.1153, 4.1153, 8.0654 Å; angles 90.00, 90.00, 90.00 degrees
Space group P4/mmm (No. 123)
Inequivalent atoms, fractional coordinates:
Pa (0.0000, 0.0000, 0.0000) [1 per cell]
Ga (0.0000, 0.0000, 0.5000) [1 per cell]
P (0.5000, 0.5000, 0.1440) [2 per cell]
Ru (0.0000, 0.5000, 0.2825) [4 per cell]
Ru (0.5000, 0.5000, 0.5000) [1 per cell]

=====

Record 2
# Pa4GaP3Ru12

An optimized crystal structure of Pa4GaP3Ru12 (PBE, the Alexandria database).

Calculated values
DFT total energy ... -345.73 eV/cell
DOS(E_F) ... 28.4 states/eV per cell

Cell lengths 8.8764, 8.8764, 8.8764 Å; angles 90.00, 90.00, 90.00 degrees
Space group Im-3m (No. 229)
Inequivalent atoms, fractional coordinates:
Pa (0.2500, 0.2500, 0.2500) [8 per cell]
Ga (0.0000, 0.0000, 0.0000) [2 per cell]
P (0.0000, 0.0000, 0.5000) [6 per cell]
Ru (0.0000, 0.0000, 0.2594) [12 per cell]
Ru (0.0000, 0.2500, 0.5000) [12 per cell]

=====

Record 3
# Pa4GaPSe2

An optimized crystal structure of Pa4GaPSe2 (PBE, the Alexandria database).

Calculated values
DFT total energy ... -60.99 eV/cell
Uncorrected formation energy ... -950 meV/atom
DOS(E_F) ... 11.1 states/eV per cell

Cell lengths 6.9746, 4.1308, 7.0582 Å; angles 90.00, 110.23, 90.00 degrees
Space group P2/m (No. 10)
Inequivalent atoms, fractional coordinates:
Pa (0.2364, 0.0000, 0.2370) [2 per cell]
Pa (0.2420, 0.5000, 0.7557) [2 per cell]
Ga (0.0000, 0.0000, 0.5000) [1 per cell]
P (0.0000, 0.5000, 0.0000) [1 per cell]
Se (0.5000, 0.0000, 0.0000) [1 per cell]
Se (0.5000, 0.5000, 0.5000) [1 per cell]

=====

Record 4
# GaP3Pb

An optimized crystal structure of GaP3Pb (PBE, the Alexandria database).

Calculated values
DFT total energy ... -19.66 eV/cell
DOS(E_F) ... 4.8 states/eV per cell

Cell lengths 4.7912, 4.7912, 4.7912 Å; angles 90.00, 90.00, 90.00 degrees
Space group Pm-3m (No. 221)
Inequivalent atoms, fractional coordinates:
Ga (0.0000, 0.0000, 0.0000) [1 per cell]
P (0.0000, 0.0000, 0.5000) [3 per cell]
Pb (0.5000, 0.5000, 0.5000) [1 per cell]

=====

Record 5
# GaPPb2

An optimized crystal structure of GaPPb2 (PBE, the Alexandria database).

Calculated values
DFT total energy ... -44.19 eV/cell
DOS(E_F) ... 6.0 states/eV per cell

Cell lengths 3.8202, 3.8202, 28.5638 Å; angles 90.00, 90.00, 120.00 degrees
Space group R-3m (No. 166, hexagonal axes)
Inequivalent atoms, fractional coordinates:
Ga (0.0000, 0.0000, 0.0000) [3 per cell]
P (0.0000, 0.0000, 0.5000) [3 per cell]
Pb (0.0000, 0.0000, 0.1051) [6 per cell]

=====

Record 6
# GaPPb2

An optimized crystal structure of GaPPb2 (PBE, the Alexandria database).

Calculated values
DFT total energy ... -60.37 eV/cell
DOS(E_F) ... 1.3 states/eV per cell

Cell lengths 6.3627, 6.3627, 12.6687 Å; angles 90.00, 90.00, 90.00 degrees
Space group I-42d (No. 122)
Inequivalent atoms, fractional coordinates:
Ga (0.0000, 0.0000, 0.0000) [4 per cell]
P (0.0000, 0.0000, 0.5000) [4 per cell]
Pb (0.2444, 0.2500, 0.6250) [8 per cell]

=====

Record 7
# GaPPb2

An optimized crystal structure of GaPPb2 (PBE, the Alexandria database).

Calculated values
DFT total energy ... -59.11 eV/cell
DOS(E_F) ... 9.8 states/eV per cell

Cell lengths 7.3558, 7.3558, 7.3558 Å; angles 90.00, 90.00, 90.00 degrees
Space group Fm-3m (No. 225)
Inequivalent atoms, fractional coordinates:
Ga (0.0000, 0.0000, 0.0000) [4 per cell]
P (0.0000, 0.0000, 0.5000) [4 per cell]
Pb (0.2500, 0.2500, 0.2500) [8 per cell]

=====

Record 8
# SrGa2PPb

An optimized crystal structure of SrGa2PPb (PBE, the Alexandria database).

Calculated values
DFT total energy ... -16.68 eV/cell
DOS(E_F) ... 3.0 states/eV per cell

Cell lengths 4.8837, 4.8837, 5.8696 Å; angles 90.00, 90.00, 90.00 degrees
Space group P4/mmm (No. 123)
Inequivalent atoms, fractional coordinates:
Sr (0.0000, 0.0000, 0.0000) [1 per cell]
Ga (0.0000, 0.5000, 0.5000) [2 per cell]
P (0.5000, 0.5000, 0.5000) [1 per cell]
Pb (0.5000, 0.5000, 0.0000) [1 per cell]

=====

- Among the records above, which one has the lowest DOS(E_F)?
  number 6

=====

- Which value of DFT total energy does entry 8 give?
  -16.68 eV/cell

=====

- Which formula does entry 3 have?
  Pa4GaPSe2